This record from OQMD via LeMat-Bulk describes a geometry-optimized TbPaNi structure. The functional is PBE-GGA.

Values from the calculation:
- DFT formation energy (eV/atom) = 0.185
- space-group type = F-43m
- VASP energy (eV/atom) = -6.379

a = 4.6590 Å, b = 4.6590 Å, c = 4.6590 Å
α = 60.00°, β = 60.00°, γ = 60.00°
Last column: nearest neighbours and their distance in Å.
Element x y z (fractional)
Ni 0.0000 0.0000 0.0000  4 Pa 2.85, 4 Tb 2.85
Pa 0.7500 0.7500 0.7500  4 Ni 2.85
Tb 0.2500 0.2500 0.2500  4 Ni 2.85